(1)
# Ta2W2N

An optimized crystal structure of Ta2W2N (PBE, Alexandria).

Cell lengths 7.775, 7.775, 7.775 Å; angles 154.69, 154.69, 36.10 degrees
Fractional coordinates of all 5 atoms:
1 Ta 0.090 0.090 0.000
2 Ta 0.910 0.910 0.000
3 W 0.250 0.750 0.500
4 W 0.750 0.250 0.500
5 N 0.500 0.500 0.000

Properties
The value obtained for the energy above the lowest structure with this stoichiometry is 987 meV/atom. The theoretical density is 14.4 Mg/m³. The space group is No. 139. The density of states at the Fermi level is 4.21 states/eV/f.u. The calculation puts the spin magnetization at 0.00 μB/f.u.

***

(2)
# La6Ge2PSe3

An optimized crystal structure of La6Ge2PSe3 (PBE, Alexandria).

Cell lengths 9.754, 9.754, 8.726 Å; angles 103.03, 103.03, 25.84 degrees
Fractional coordinates of all 12 atoms:
1 La 0.002 0.002 0.240
2 La 0.332 0.332 0.422
3 La 0.337 0.337 0.913
4 La 0.663 0.663 0.087
5 La 0.668 0.668 0.578
6 La 0.998 0.998 0.760
7 Ge 0.166 0.166 0.331
8 Ge 0.834 0.834 0.669
9 P 0.500 0.500 0.000
10 Se 0.166 0.166 0.834
11 Se 0.500 0.500 0.500
12 Se 0.834 0.834 0.166

Properties
For the raw total energy, the calculation gives -73.8 eV per cell. The theoretical density is 5.9 Mg/m³. The space group is No. 12. The density of states at the Fermi level is 2.57 states/eV/f.u. The calculation puts the spin magnetization at 0.00 μB/f.u.

***

(3)
# CsCeS2

An optimized crystal structure of CsCeS2 (PBE, Alexandria).

Cell lengths 8.513, 8.513, 8.513 Å; angles 28.96, 28.96, 28.96 degrees
Fractional coordinates of all 4 atoms:
1 Cs 0.000 0.000 0.000
2 Ce 0.831 0.831 0.831
3 S 0.226 0.226 0.226
4 S 0.436 0.436 0.436

Properties
For the raw total energy, the calculation gives -22.0 eV per cell. The theoretical density is 4.4 Mg/m³. The space group is No. 160. The density of states at the Fermi level is 6.24 states/eV/f.u. The calculation puts the spin magnetization at 1.00 μB/f.u.

***

(4)
# CsBa2Ga

An optimized crystal structure of CsBa2Ga (PBE, Alexandria).

Cell lengths 4.274, 4.274, 12.135 Å; angles 90.00, 90.00, 90.00 degrees
Fractional coordinates of all 4 atoms:
1 Cs 0.000 0.000 0.000
2 Ba 0.500 0.500 0.346
3 Ba 0.500 0.500 0.654
4 Ga 0.000 0.000 0.500

Properties
The theoretical density is 3.6 Mg/m³. The space group is No. 123. The density of states at the Fermi level is 3.77 states/eV/f.u. For the energy relative to the elements, the calculation gives -49 kJ/mol of formula units. The calculation puts the spin magnetization at 0.16 μB/f.u.

***

Among the records above, which one has the lowest theoretical density?
CsBa2Ga